The following is a DFT calculation (PBE) of an optimized crystal structure of TmCd4Ag3.

Unit cell a=7.310 b=7.310 c=5.388 alpha=106.83 beta=106.83 gamma=38.46
Fractional coordinates of all 8 atoms:
Tm (0.000, 0.000, 0.000)
Cd (0.130, 0.130, 0.575)
Cd (0.254, 0.254, 0.175)
Cd (0.746, 0.746, 0.825)
Cd (0.870, 0.870, 0.425)
Ag (0.361, 0.361, 0.782)
Ag (0.500, 0.500, 0.500)
Ag (0.639, 0.639, 0.218)

Computed properties:
- Space-group type: C2/m (12)
- Formation energy: -0.09 eV/atom
- E: -2.178 eV per atom